Record 1
The following is a GGA-PBE calculation of a relaxed LaPaSi crystal, from OQMD.

Cell lengths 6.936, 6.936, 6.936 Å; angles 90.00, 90.00, 90.00 degrees
Sites, in units of the cell vectors:
La (0.000, 0.000, 0.000)
La (0.000, 0.500, 0.500)
La (0.500, 0.000, 0.500)
La (0.500, 0.500, 0.000)
Pa (0.000, 0.000, 0.500)
Pa (0.000, 0.500, 0.000)
Pa (0.500, 0.000, 0.000)
Pa (0.500, 0.500, 0.500)
Si (0.250, 0.250, 0.250)
Si (0.250, 0.750, 0.750)
Si (0.750, 0.250, 0.750)
Si (0.750, 0.750, 0.250)

Values from the calculation:
Space group: No. 216
Total DFT energy (no corrections) (eV for the cell shown): -79.4

Record 2
The following is a GGA-PBE calculation of a relaxed La4PaSi2 crystal, from OQMD.

Cell lengths 8.380, 11.891, 4.367 Å; angles 90.00, 90.00, 90.00 degrees
Sites, in units of the cell vectors:
La (0.000, 0.216, 0.000)
La (0.000, 0.784, 0.000)
La (0.228, 0.000, 0.500)
La (0.272, 0.500, 0.500)
La (0.500, 0.284, 0.000)
La (0.500, 0.716, 0.000)
La (0.728, 0.500, 0.500)
La (0.772, 0.000, 0.500)
Pa (0.000, 0.500, 0.000)
Pa (0.500, 0.000, 0.000)
Si (0.250, 0.250, 0.500)
Si (0.250, 0.750, 0.500)
Si (0.750, 0.250, 0.500)
Si (0.750, 0.750, 0.500)

Values from the calculation:
Space group: No. 65
Total DFT energy (no corrections) (eV for the cell shown): -78.9

Record 3
The following is a GGA-PBE calculation of a relaxed SrLaPa crystal, from OQMD.

Cell lengths 8.037, 8.037, 8.037 Å; angles 90.00, 90.00, 90.00 degrees
Sites, in units of the cell vectors:
Sr (0.000, 0.000, 0.000)
Sr (0.000, 0.500, 0.500)
Sr (0.500, 0.000, 0.500)
Sr (0.500, 0.500, 0.000)
La (0.000, 0.000, 0.500)
La (0.000, 0.500, 0.000)
La (0.500, 0.000, 0.000)
La (0.500, 0.500, 0.500)
Pa (0.250, 0.250, 0.750)
Pa (0.250, 0.750, 0.250)
Pa (0.750, 0.250, 0.250)
Pa (0.750, 0.750, 0.750)

Values from the calculation:
Space group: No. 216
Total DFT energy (no corrections) (eV for the cell shown): -48.5

Record 4
The following is a GGA-PBE calculation of a relaxed LaPaTa crystal, from OQMD.

Cell lengths 6.974, 6.974, 6.974 Å; angles 90.00, 90.00, 90.00 degrees
Sites, in units of the cell vectors:
La (0.000, 0.000, 0.000)
La (0.000, 0.500, 0.500)
La (0.500, 0.000, 0.500)
La (0.500, 0.500, 0.000)
Pa (0.250, 0.250, 0.250)
Pa (0.250, 0.750, 0.750)
Pa (0.750, 0.250, 0.750)
Pa (0.750, 0.750, 0.250)
Ta (0.000, 0.000, 0.500)
Ta (0.000, 0.500, 0.000)
Ta (0.500, 0.000, 0.000)
Ta (0.500, 0.500, 0.500)

Values from the calculation:
Space group: No. 216
Total DFT energy (no corrections) (eV for the cell shown): -90.9
DFT formation energy (eV per atom): 1.1853

Record 5
The following is a GGA-PBE calculation of a relaxed LaPaTc crystal, from OQMD.

Cell lengths 6.603, 6.603, 6.603 Å; angles 90.00, 90.00, 90.00 degrees
Sites, in units of the cell vectors:
La (0.000, 0.000, 0.000)
La (0.000, 0.500, 0.500)
La (0.500, 0.000, 0.500)
La (0.500, 0.500, 0.000)
Pa (0.250, 0.250, 0.750)
Pa (0.250, 0.750, 0.250)
Pa (0.750, 0.250, 0.250)
Pa (0.750, 0.750, 0.750)
Tc (0.250, 0.250, 0.250)
Tc (0.250, 0.750, 0.750)
Tc (0.750, 0.250, 0.750)
Tc (0.750, 0.750, 0.250)

Values from the calculation:
Space group: No. 216
Total DFT energy (no corrections) (eV for the cell shown): -88.8
DFT formation energy (eV per atom): 0.8567

Record 6
The following is a GGA-PBE calculation of a relaxed LaPa2Tc3 crystal, from OQMD.

Cell lengths 6.177, 6.177, 4.054 Å; angles 90.00, 90.00, 120.00 degrees
Sites, in units of the cell vectors:
La (0.000, 0.000, 0.000)
Pa (0.333, 0.667, 0.000)
Pa (0.667, 0.333, 0.000)
Tc (0.000, 0.500, 0.500)
Tc (0.500, 0.000, 0.500)
Tc (0.500, 0.500, 0.500)

Values from the calculation:
Space group: No. 191
Total DFT energy (no corrections) (eV for the cell shown): -56.3
DFT formation energy (eV per atom): -0.2091